# Sm4DyY PBE relaxed
# Crystal system: cubic
# Symmetry: No. 216
# E above lowest polymorph: 0.231 eV per atom
# N(E_F): 9.88 states/eV per cell
# Energy: -4.7435 eV/atom
# E_form: 0.2469 eV per atom
data_Sm4DyY
_cell_length_a 6.639
_cell_length_b 6.639
_cell_length_c 6.639
_cell_angle_alpha 60.00
_cell_angle_beta 60.00
_cell_angle_gamma 60.00
_symmetry_space_group_name_H-M 'P 1'
_symmetry_Int_Tables_number 1
_symmetry_space_group_name_Hall 'P 1'
loop_
_atom_site_label
_atom_site_fract_x
_atom_site_fract_y
_atom_site_fract_z
_atom_site_occupancy
Sm1 0.125 0.125 0.125 1
Sm2 0.125 0.125 0.625 1
Sm3 0.125 0.625 0.125 1
Sm4 0.625 0.125 0.125 1
Dy1 0.500 0.500 0.500 1
Y1 0.750 0.750 0.750 1



# Sm2Dy8Y3 PBE relaxed
# Crystal system: orthorhombic
# Symmetry: No. 65
# N(E_F): 22.84 states/eV per cell
# Energy: -4.8108 eV/atom
# E_form: 0.2390 eV per atom
data_Sm2Dy8Y3
_cell_length_a 10.966
_cell_length_b 10.966
_cell_length_c 5.584
_cell_angle_alpha 90.00
_cell_angle_beta 90.00
_cell_angle_gamma 139.39
_symmetry_space_group_name_H-M 'P 1'
_symmetry_Int_Tables_number 1
_symmetry_space_group_name_Hall 'P 1'
loop_
_atom_site_label
_atom_site_fract_x
_atom_site_fract_y
_atom_site_fract_z
_atom_site_occupancy
Sm1 0.242 0.758 0.000 1
Sm2 0.758 0.242 0.000 1
Dy1 0.132 0.868 0.500 1
Dy2 0.181 0.396 0.000 1
Dy3 0.335 0.665 0.500 1
Dy4 0.396 0.181 0.000 1
Dy5 0.604 0.819 0.000 1
Dy6 0.665 0.335 0.500 1
Dy7 0.819 0.604 0.000 1
Dy8 0.868 0.132 0.500 1
Y1 0.000 0.000 0.000 1
Y2 0.285 0.285 0.500 1
Y3 0.715 0.715 0.500 1